[1]
# PaCdSi4 PBE optimized geometry
# - Raw total energy: -5.385 eV per atom
data_PaCdSi4
_space_group_name_H-M_alt 'F -4 3 m'
_space_group_IT_number 216
_space_group_name_Hall 'F -4 2 3'
_cell_length_a 7.470
_cell_length_b 7.470
_cell_length_c 7.470
_cell_angle_alpha 90.00
_cell_angle_beta 90.00
_cell_angle_gamma 90.00
loop_
_atom_site_label
_atom_site_type_symbol
_atom_site_fract_x
_atom_site_fract_y
_atom_site_fract_z
_atom_site_occupancy
Pa1 Pa 0.000 0.000 0.000 1
Cd1 Cd 0.250 0.250 0.250 1
Si1 Si 0.124 0.124 0.624 1

[2]
# Sm2PaCd PBE optimized geometry
# - E_form: 0.25 eV/atom
# - Raw total energy: -4.715 eV per atom
# - Energy relative to the lowest polymorph listed for this composition: 279.9 meV/atom
data_Sm2PaCd
_space_group_name_H-M_alt 'R -3 m'
_space_group_IT_number 166
_space_group_name_Hall '-R 3 2"'
_cell_length_a 3.2815
_cell_length_b 3.2815
_cell_length_c 36.1698
_cell_angle_alpha 90.00
_cell_angle_beta 90.00
_cell_angle_gamma 120.00
loop_
_atom_site_label
_atom_site_type_symbol
_atom_site_fract_x
_atom_site_fract_y
_atom_site_fract_z
_atom_site_occupancy
Sm1 Sm 0.0000 0.0000 0.0896 1
Pa1 Pa 0.0000 0.0000 0.0000 1
Cd1 Cd 0.0000 0.0000 0.5000 1

[3]
# Sm2PaCd PBE optimized geometry
# - E_form: -0.03 eV/atom
# - Raw total energy: -4.994 eV per atom
# - Energy relative to the lowest polymorph listed for this composition: 0.0 meV/atom
data_Sm2PaCd
_space_group_name_H-M_alt 'P 4/m m m'
_space_group_IT_number 123
_space_group_name_Hall '-P 4 2'
_cell_length_a 3.466
_cell_length_b 3.466
_cell_length_c 9.348
_cell_angle_alpha 90.00
_cell_angle_beta 90.00
_cell_angle_gamma 90.00
loop_
_atom_site_label
_atom_site_type_symbol
_atom_site_fract_x
_atom_site_fract_y
_atom_site_fract_z
_atom_site_occupancy
Sm1 Sm 0.000 0.000 0.242 1
Pa1 Pa 0.500 0.500 0.500 1
Cd1 Cd 0.500 0.500 0.000 1